No. 1
# AlVMoPt

A relaxed structure of AlVMoPt (PBE-GGA, the Alexandria database).

* calculated volume: 58.2 Å³/cell
* size of the total moment: 0.000 μB per cell
* ΔH_f (0 K): -0.46 eV/atom

```
AlVMoPt
1.0
4.3495 0.0000 0.0000
2.1747 3.7668 0.0000
2.1747 1.2556 3.5513
Mo Al Pt V
1 1 1 1
Cartesian
2.1747 1.2556 0.8878
0.0000 0.0000 0.0000
6.5242 3.7668 2.6635
4.3495 2.5112 1.7757
```

=====

No. 2
# K6CdAg

A relaxed structure of K6CdAg (PBE-GGA, the Alexandria database).

* calculated volume: 452.4 Å³/cell
* size of the total moment: 0.000 μB per cell
* ΔH_f (0 K): 0.01 eV/atom

```
K6CdAg
1.0
4.6840 0.0000 0.0000
0.0000 9.7985 -1.0020
0.0000 0.0888 9.8491
K Cd Ag
6 1 1
Cartesian
0.0000 5.3018 7.1959
0.0000 2.1487 4.3745
0.0000 6.5156 2.6665
2.3420 8.9724 5.5285
2.3420 3.3994 0.5419
2.3420 9.1196 -0.2433
0.0000 1.4976 8.2746
2.3420 2.5936 7.0498
```

=====

No. 3
# K2CaNpCl8

A relaxed structure of K2CaNpCl8 (PBE-GGA, the Alexandria database).

* calculated volume: 416.2 Å³/cell
* size of the total moment: 3.000 μB per cell
* raw formation energy: -186 kJ/mol of atoms

```
K2CaNpCl8
1.0
7.1103 -0.1710 -0.0024
-0.1955 6.7973 -0.0094
0.0056 0.0088 8.6167
K Ca Np Cl
2 1 1 8
Cartesian
3.4615 3.3197 6.3827
3.4589 3.3154 2.2221
0.0028 0.0044 4.3083
0.0000 0.0000 0.0000
0.8548 5.3831 1.9632
4.8186 5.1022 -0.0089
6.0627 1.2471 1.9674
6.0656 1.2520 6.6417
2.1018 1.5329 8.6137
0.8577 5.3880 6.6375
4.8605 4.9989 4.2997
2.0599 1.6363 4.3052
```

=====

No. 4
# TaVN2

A relaxed structure of TaVN2 (PBE-GGA, the Alexandria database).

* calculated volume: 39.7 Å³/cell
* size of the total moment: 0.000 μB per cell
* raw formation energy: -90 kJ/mol of atoms

```
TaVN2
1.0
-0.8605 -0.8147 -2.8078
2.9030 0.1090 -0.9213
0.4866 -4.1187 1.0460
Ta V N
1 1 2
Cartesian
0.0000 0.0000 0.0000
1.2646 -2.4122 -1.3416
0.2433 -2.0593 0.5230
1.0213 -0.3528 -1.8645
```

=====

No. 5
# Ba2ZrHgSe

A relaxed structure of Ba2ZrHgSe (PBE-GGA, the Alexandria database).

* calculated volume: 221.3 Å³/cell
* size of the total moment: 1.404 μB per cell
* raw formation energy: 6 kJ/mol of atoms

```
Ba2ZrHgSe
1.0
-4.5051 -3.9094 -2.4446
0.9829 -3.5417 3.8525
-4.4546 2.8083 3.7182
Se Hg Zr Ba
1 1 1 2
Cartesian
-3.9884 -2.3214 2.5631
0.0000 0.0000 0.0000
0.4914 -1.7709 1.9263
-2.2273 1.4041 1.8591
-2.2525 -1.9547 -1.2223
```

=====

No. 6
# VAu3S

A relaxed structure of VAu3S (PBE-GGA, the Alexandria database).

* calculated volume: 119.6 Å³/cell
* size of the total moment: 2.894 μB per cell
* raw formation energy: 116 kJ/mol of atoms
* ΔE to the lowest computed polymorph: 409.6 meV per atom

```
VAu3S
1.0
4.9268 0.0000 0.0000
0.0000 4.9268 0.0000
0.0000 0.0000 4.9268
S Au V
1 3 1
Cartesian
2.4634 2.4634 2.4634
0.0000 2.4634 0.0000
0.0000 0.0000 2.4634
2.4634 0.0000 0.0000
0.0000 0.0000 0.0000
```

=====

No. 7
# AcEuScCd

A relaxed structure of AcEuScCd (PBE-GGA, the Alexandria database).

* calculated volume: 123.9 Å³/cell
* size of the total moment: 8.883 μB per cell
* ΔH_f (0 K): 0.10 eV/atom

```
AcEuScCd
1.0
5.5958 0.0000 0.0000
2.7979 4.8461 0.0000
2.7979 1.6154 4.5690
Eu Sc Ac Cd
1 1 1 1
Cartesian
0.0000 0.0000 0.0000
5.5958 3.2307 2.2845
2.7979 1.6154 1.1422
8.3937 4.8461 3.4267
```

=====

No. 8
# GaAu

A relaxed structure of GaAu (PBE-GGA, the Alexandria database).

* calculated volume: 247.0 Å³/cell
* size of the total moment: 0.000 μB per cell
* ΔH_f (0 K): -0.14 eV/atom

```
GaAu
1.0
-4.7926 1.8301 -5.0639
-2.2667 -2.3114 6.4406
0.0100 5.1652 1.8573
Ga Au
6 6
Cartesian
-5.3138 0.4015 2.9676
-5.1425 3.6974 1.9118
-2.0980 -0.3069 4.9204
-1.7356 4.2824 0.2664
-1.9068 0.9865 1.3222
-4.9514 4.9908 -1.6865
-5.0683 2.1660 -1.9409
-4.7444 2.8292 4.3242
-4.4712 1.2020 0.7369
-1.9810 2.5179 5.1749
-2.3050 1.8547 -1.0902
-2.5782 3.4819 2.4970
```

=====

No. 9
# Sr2AlVTc

A relaxed structure of Sr2AlVTc (PBE-GGA, the Alexandria database).

* calculated volume: 158.0 Å³/cell
* size of the total moment: 0.897 μB per cell
* ΔH_f (0 K): 0.77 eV/atom

```
Sr2AlVTc
1.0
-2.1134 2.5107 5.0275
-3.7920 -2.1352 -0.5278
2.1465 -4.6034 3.2012
Sr Al Tc V
2 1 1 1
Cartesian
1.0733 -2.3017 1.6006
-1.0567 1.2553 2.5138
-1.8795 -2.1139 3.8505
0.0000 0.0000 0.0000
-1.8960 -1.0676 -0.2639
```

=====

No. 10
# MgTc

A relaxed structure of MgTc (PBE-GGA, the Alexandria database).

* calculated volume: 198.2 Å³/cell
* size of the total moment: 0.000 μB per cell
* ΔH_f (0 K): 0.23 eV/atom
* ΔE to the lowest computed polymorph: 251.8 meV per atom

```
MgTc
1.0
4.6255 0.0000 0.0000
0.0000 13.0864 0.0000
0.0000 0.0000 3.2742
Mg Tc
6 6
Cartesian
0.0000 10.7430 1.6371
0.0000 2.3434 1.6371
2.3128 4.1998 1.6371
2.3128 8.8866 1.6371
0.0000 0.0000 0.0000
2.3128 6.5432 0.0000
0.0000 4.6165 0.0000
0.0000 8.4699 0.0000
2.3128 11.1597 0.0000
2.3128 1.9267 0.0000
2.3128 0.0000 1.6371
0.0000 6.5432 1.6371
```

=====

No. 11
# TcBiIrRh2

A relaxed structure of TcBiIrRh2 (PBE-GGA, the Alexandria database).

* calculated volume: 118.3 Å³/cell
* size of the total moment: 3.569 μB per cell
* ΔH_f (0 K): 1.60 eV/atom

```
TcBiIrRh2
1.0
-0.0846 0.8284 4.6384
0.3167 -5.2323 0.9402
4.7035 0.2908 0.0339
Ir Rh Bi Tc
1 2 1 1
Cartesian
0.0000 0.0000 0.0000
2.3517 0.1454 0.0169
-0.0423 0.4142 2.3192
0.1584 -2.6162 0.4701
2.4678 -2.0566 2.8063
```

=====

No. 12
# Na2Ag3Sn5

A relaxed structure of Na2Ag3Sn5 (PBE-GGA, the Alexandria database).

* calculated volume: 496.3 Å³/cell
* size of the total moment: 0.000 μB per cell
* ΔH_f (0 K): -0.10 eV/atom
* ΔE to the lowest computed polymorph: 0.0 meV per atom

```
Na2Ag3Sn5
1.0
4.6558 0.0000 -0.7931
0.0000 7.6724 0.0000
-0.0279 0.0000 13.8987
Na Ag Sn
4 6 10
Cartesian
2.1972 5.9728 12.8983
0.8124 5.3632 4.7692
3.8155 1.5270 8.3363
2.4307 2.1366 0.2073
3.5998 5.2603 7.0700
2.8326 4.0155 2.5662
0.2042 0.0443 1.1986
1.0281 1.4241 6.0355
4.4237 3.8806 11.9069
1.7953 0.1793 10.5394
1.8622 3.0494 10.9318
1.3591 3.6784 7.9784
3.2688 7.5146 5.1272
0.5445 2.1386 3.1965
1.3503 6.8652 7.9265
4.3783 0.9371 11.6404
3.2777 3.0290 5.1790
4.0834 5.9748 9.9091
0.2496 4.7733 1.4652
2.7657 6.8856 2.1737
```

=====

No. 13
# V3HgB

A relaxed structure of V3HgB (PBE-GGA, the Alexandria database).

* calculated volume: 124.9 Å³/cell
* size of the total moment: 8.781 μB per cell
* ΔH_f (0 K): 2.55 eV/atom
* ΔE to the lowest computed polymorph: 2512.9 meV per atom

```
V3HgB
1.0
4.9988 0.0000 0.0000
0.0000 4.9988 0.0000
0.0000 0.0000 4.9988
B Hg V
1 1 3
Cartesian
2.4994 2.4994 2.4994
0.0000 0.0000 0.0000
0.0000 2.4994 0.0000
0.0000 0.0000 2.4994
2.4994 0.0000 0.0000
```